Below is a geometry-optimized FeRu2Se structure, with properties calculated at the PBE level.

Summary:
The calculation puts the formation energy without anion corrections at 0.324 eV per atom. The uncorrected energy is -7.30 eV/atom.

Unit cell a=2.8982 b=3.9569 c=5.1700 alpha=90.00 beta=104.26 gamma=90.00
Positions (direct):
Fe: 0.0000 0.0000 0.0000
Ru: 0.3657 0.5000 0.7434
Ru: 0.6343 0.5000 0.2566
Se: 0.0000 0.0000 0.5000